The following is a PBE-GGA calculation of a relaxed La2TbRh crystal, from the Alexandria database.

offset from the most stable computed form = 153.8 meV/atom
formation enthalpy at 0 K = -0.303 eV per atom
D(E_F) = 5.21 states/eV/f.u.
uncorrected energy = -5.763 eV per atom
total magnetic moment = 0.71 μB/cell
calculated density = 6.928 g cm⁻³

Cell and atoms, written as POSCAR:
```
La2TbRh
1.0
-2.641 -2.881 0.780
0.889 -2.859 2.630
-4.241 3.311 8.051
La Tb Rh
2 1 1
Direct
0.273 0.273 0.181
0.060 0.060 0.819
0.500 0.500 0.499
0.666 0.666 0.001
```